1.
CaEuNbFeO6: optimized geometry, PBE with a Hubbard U.

The value obtained for the energy is -8.28 eV per atom. The spin magnetization is 2.0 μB/f.u.

It has space group F-43m (No. 216), with a = 7.987 Å, b = 7.987 Å, c = 7.987 Å, α = 90.00°, β = 90.00° and γ = 90.00°. The distinct sites, in fractional coordinates, are Ca at (0.000, 0.000, 0.000), Eu at (0.000, 0.000, 0.500), Nb at (0.250, 0.250, 0.750), Fe at (0.250, 0.250, 0.250) and O at (0.000, 0.250, 0.250).

2.
CaEuFe4O12: optimized geometry, PBE with a Hubbard U.

The value obtained for the energy is -6.44 eV per atom. The spin magnetization is 24.9 μB/f.u.

It has space group P4/mmm (No. 123), with a = 5.371 Å, b = 5.371 Å, c = 7.635 Å, α = 90.00°, β = 90.00° and γ = 90.00°. The distinct sites, in fractional coordinates, are Ca at (0.000, 0.000, 0.000), Eu at (0.500, 0.500, 0.500), Fe at (0.000, 0.500, 0.248), O at (0.000, 0.500, 0.000), O at (0.000, 0.500, 0.500) and O at (0.252, 0.252, 0.254).

> spin magnetization of number 2 (CaEuFe4O12)?

24.9 μB/f.u.